Entry from the Alexandria database: an optimized crystal structure of FeAs4F18 (GGA+U).

Results
The value obtained for the spin magnetization is 8.00 Bohr magnetons per cell. For the uncorrected energy, the calculation gives -4.681 eV/atom. The value obtained for the volume is 15.90 Å³ per atom. The symmetry is P2_1/c (14).

abc: 7.4805 13.0795 10.3440
angles: 90.00 133.74 90.00
Atoms (fractional coordinates):
Fe1 0.0000 0.0000 0.0000
Fe2 0.0000 0.5000 0.5000
As1 0.0942 0.2154 0.5136
As2 0.0942 0.2846 0.0136
As3 0.5000 0.0000 0.0000
As4 0.5000 0.0000 0.5000
As5 0.5000 0.5000 0.0000
As6 0.5000 0.5000 0.5000
As7 0.9058 0.7154 0.9864
As8 0.9058 0.7846 0.4864
F1 0.0069 0.7456 0.6899
F2 0.0069 0.7544 0.1899
F3 0.0253 0.1576 0.0518
F4 0.0253 0.3424 0.5518
F5 0.2112 0.0284 0.9415
F6 0.2112 0.4716 0.4415
F7 0.2306 0.0500 0.4396
F8 0.2306 0.4500 0.9396
F9 0.3224 0.5341 0.7679
F10 0.3224 0.9659 0.2679
F11 0.3282 0.5529 0.2870
F12 0.3282 0.9471 0.7870
F13 0.4048 0.2469 0.6444
F14 0.4048 0.2531 0.1444
F15 0.4361 0.6194 0.0349
F16 0.4361 0.8806 0.5349
F17 0.4835 0.1196 0.9166
F18 0.4835 0.3804 0.4166
F19 0.5165 0.6196 0.5834
F20 0.5165 0.8804 0.0834
F21 0.5639 0.1194 0.4651
F22 0.5639 0.3806 0.9651
F23 0.5952 0.7469 0.8556
F24 0.5952 0.7531 0.3556
F25 0.6718 0.0529 0.2130
F26 0.6718 0.4471 0.7130
F27 0.6776 0.0341 0.7321
F28 0.6776 0.4659 0.2321
F29 0.7694 0.5500 0.0604
F30 0.7694 0.9500 0.5604
F31 0.7888 0.5284 0.5585
F32 0.7888 0.9716 0.0585
F33 0.9747 0.6576 0.4482
F34 0.9747 0.8424 0.9482
F35 0.9931 0.2456 0.8101
F36 0.9931 0.2544 0.3101


Entry from the Alexandria database: an optimized crystal structure of FeAs2HF (GGA+U).

Results
The value obtained for the spin magnetization is 2.91 Bohr magnetons per cell. For the uncorrected energy, the calculation gives -3.645 eV/atom. The value obtained for the volume is 18.39 Å³ per atom. The symmetry is P4/mmm (123).

abc: 4.9171 4.9171 3.8028
angles: 90.00 90.00 90.00
Atoms (fractional coordinates):
Fe1 0.0000 0.0000 0.0000
As1 0.0000 0.5000 0.0000
As2 0.5000 0.0000 0.0000
H1 0.5000 0.5000 0.5000
F1 0.0000 0.0000 0.5000


Entry from the Alexandria database: an optimized crystal structure of FeAsHF2 (GGA+U).

Results
The value obtained for the spin magnetization is 4.78 Bohr magnetons per cell. For the uncorrected energy, the calculation gives -4.166 eV/atom. The value obtained for the volume is 16.38 Å³ per atom. The symmetry is P4/mmm (123).

abc: 3.7706 3.7706 5.7609
angles: 90.00 90.00 90.00
Atoms (fractional coordinates):
Fe1 0.0000 0.0000 0.0000
As1 0.0000 0.0000 0.5000
H1 0.5000 0.5000 0.5000
F1 0.0000 0.5000 0.0000
F2 0.5000 0.0000 0.0000


Number 1 is which compound?
FeAs4F18